Entry 1:
An optimized crystal structure of CaP2Se. Source: Alexandria, functional PBE.

Space-group type: Cm (8)
ΔE_f (raw): -0.4461 eV/atom
N(E_F): 1.861 states/eV/cell
V: 19.8 Å³/atom
Electronic total energy: -0.1662 Ha/atom

a b c (Å): 5.3525 5.3525 5.2149
angles (deg): 119.12 119.12 38.21
Element x y z (fractional)
Ca (0.0000, 0.0000, 0.0000)
P (0.2077, 0.2077, 0.7066)
P (0.5394, 0.5394, 0.5401)
Se (0.8018, 0.8018, 0.3021)

***

Entry 2:
An optimized crystal structure of In4Cl5. Source: Alexandria, functional PBE.

Space-group type: I4/m (87)
ΔE_f (raw): -0.7905 eV/atom
N(E_F): 2.674 states/eV/cell
V: 32.5 Å³/atom
Electronic total energy: -0.1115 Ha/atom

a b c (Å): 7.5859 7.5859 7.5859
angles (deg): 99.16 99.16 132.97
Element x y z (fractional)
In (0.1026, 0.7126, 0.8152)
In (0.2874, 0.1026, 0.3899)
In (0.7126, 0.8974, 0.6101)
In (0.8974, 0.2874, 0.1848)
Cl (0.0000, 0.0000, 0.0000)
Cl (0.1861, 0.4040, 0.5902)
Cl (0.4040, 0.8139, 0.2179)
Cl (0.5960, 0.1861, 0.7821)
Cl (0.8139, 0.5960, 0.4098)

***

Entry 3:
An optimized crystal structure of RbAg2Au. Source: Alexandria, functional PBE.

Space-group type: R-3m (166)
N(E_F): 1.281 states/eV/cell
Polymorph energy (0 for the lowest one): 0.0 kJ/mol of atoms
V: 30.8 Å³/atom
Electronic total energy: -0.0942 Ha/atom

a b c (Å): 6.7203 6.7203 6.7203
angles (deg): 42.05 42.05 42.05
Element x y z (fractional)
Rb (0.0000, 0.0000, 0.0000)
Ag (0.1834, 0.1834, 0.1834)
Ag (0.8166, 0.8166, 0.8166)
Au (0.5000, 0.5000, 0.5000)

***

Entry 4:
An optimized crystal structure of HoScCuRh. Source: Alexandria, functional PBE.

Space-group type: F-43m (216)
N(E_F): 3.798 states/eV/cell
Polymorph energy (0 for the lowest one): 0.6 kJ/mol of atoms
V: 18.8 Å³/atom
Electronic total energy: -0.2270 Ha/atom

a b c (Å): 4.7351 4.7351 4.7351
angles (deg): 60.00 60.00 60.00
Element x y z (fractional)
Ho (0.0000, 0.0000, 0.0000)
Sc (0.5000, 0.5000, 0.5000)
Cu (0.7500, 0.7500, 0.7500)
Rh (0.2500, 0.2500, 0.2500)

***

Entry 5:
An optimized crystal structure of LaNd6Y2. Source: Alexandria, functional PBE.

Space-group type: C2/m (12)
N(E_F): 17.018 states/eV/cell
Polymorph energy (0 for the lowest one): 0.0 kJ/mol of atoms
V: 35.5 Å³/atom
Electronic total energy: -0.1834 Ha/atom

a b c (Å): 6.2391 6.2391 15.6579
angles (deg): 102.24 102.24 32.50
Element x y z (fractional)
La (0.0000, 0.0000, 0.0000)
Nd (0.0399, 0.0399, 0.2317)
Nd (0.2932, 0.2932, 0.1057)
Nd (0.3733, 0.3733, 0.5633)
Nd (0.6267, 0.6267, 0.4367)
Nd (0.7068, 0.7068, 0.8943)
Nd (0.9601, 0.9601, 0.7683)
Y (0.3325, 0.3325, 0.3344)
Y (0.6675, 0.6675, 0.6656)

***

Entry 6:
An optimized crystal structure of Ce4Ga3Si. Source: Alexandria, functional PBE.

Space-group type: Pmm2 (25)
ΔE_f (raw): -0.5140 eV/atom
N(E_F): 18.872 states/eV/cell
V: 24.8 Å³/atom
Electronic total energy: -0.1945 Ha/atom

a b c (Å): 4.0657 4.3752 11.1506
angles (deg): 90.00 90.00 90.00
Element x y z (fractional)
Ce (0.0000, 0.0000, 0.0000)
Ce (0.0000, 0.5000, 0.4951)
Ce (0.5000, 0.0000, 0.7077)
Ce (0.5000, 0.5000, 0.2094)
Ga (0.0000, 0.5000, 0.7812)
Ga (0.5000, 0.0000, 0.4209)
Ga (0.5000, 0.5000, 0.9243)
Si (0.0000, 0.0000, 0.2809)

***

Entry 7:
An optimized crystal structure of LiScRe2. Source: Alexandria, functional PBE.

Space-group type: Cmmm (65)
N(E_F): 2.857 states/eV/cell
Polymorph energy (0 for the lowest one): 28.0 kJ/mol of atoms
V: 15.9 Å³/atom
Electronic total energy: -0.2945 Ha/atom

a b c (Å): 5.3438 5.3438 2.5804
angles (deg): 90.00 90.00 120.42
Element x y z (fractional)
Li (0.0000, 0.0000, 0.0000)
Sc (0.5000, 0.5000, 0.0000)
Re (0.0000, 0.5000, 0.5000)
Re (0.5000, 0.0000, 0.5000)

***

Entry 8:
An optimized crystal structure of SrCdMo. Source: Alexandria, functional PBE.

Space-group type: P3m1 (156)
N(E_F): 3.532 states/eV/cell
Polymorph energy (0 for the lowest one): 48.4 kJ/mol of atoms
V: 23.6 Å³/atom
Electronic total energy: -0.1351 Ha/atom

a b c (Å): 5.2445 5.2445 2.9700
angles (deg): 90.00 90.00 120.00
Element x y z (fractional)
Sr (0.0000, 0.0000, 0.0000)
Cd (0.6667, 0.3333, 0.5023)
Mo (0.3333, 0.6667, 0.4988)

***

Entry 9:
An optimized crystal structure of Ni2AgIr. Source: Alexandria, functional PBE.

Space-group type: Pmm2 (25)
N(E_F): 5.376 states/eV/cell
Polymorph energy (0 for the lowest one): 14.6 kJ/mol of atoms
V: 13.7 Å³/atom
Electronic total energy: -0.2033 Ha/atom

a b c (Å): 2.6765 3.7125 5.5342
angles (deg): 90.00 90.00 90.00
Element x y z (fractional)
Ni (0.0000, 0.0000, 0.0000)
Ni (0.5000, 0.5000, 0.2359)
Ag (0.0000, 0.0000, 0.4889)
Ir (0.5000, 0.5000, 0.7910)

***

Entry 10:
An optimized crystal structure of Tb5SmRu6. Source: Alexandria, functional PBE.

Space-group type: P2/m (10)
N(E_F): 12.061 states/eV/cell
V: 20.0 Å³/atom
Electronic total energy: -0.2656 Ha/atom

a b c (Å): 4.8275 6.8641 7.6329
angles (deg): 90.00 108.15 90.00
Element x y z (fractional)
Tb (0.0000, 0.0000, 0.0000)
Tb (0.3332, 0.0000, 0.6664)
Tb (0.3326, 0.5000, 0.6652)
Tb (0.6668, 0.0000, 0.3336)
Tb (0.6674, 0.5000, 0.3348)
Sm (0.0000, 0.5000, 0.0000)
Ru (0.1674, 0.2490, 0.3348)
Ru (0.1674, 0.7510, 0.3348)
Ru (0.5000, 0.2481, 0.0000)
Ru (0.5000, 0.7519, 0.0000)
Ru (0.8326, 0.2490, 0.6652)
Ru (0.8326, 0.7510, 0.6652)

***

Entry 11:
An optimized crystal structure of LiDy6P2Se3. Source: Alexandria, functional PBE.

Space-group type: C2/m (12)
ΔE_f (raw): -1.3896 eV/atom
N(E_F): 5.431 states/eV/cell
V: 23.8 Å³/atom
Electronic total energy: -0.2066 Ha/atom

a b c (Å): 9.0929 9.0929 8.1982
angles (deg): 103.14 103.14 25.68
Element x y z (fractional)
Li (0.0000, 0.0000, 0.0000)
Dy (0.1718, 0.1718, 0.1020)
Dy (0.1722, 0.1722, 0.5721)
Dy (0.4948, 0.4948, 0.7369)
Dy (0.5052, 0.5052, 0.2631)
Dy (0.8278, 0.8278, 0.4279)
Dy (0.8282, 0.8282, 0.8980)
P (0.3333, 0.3333, 0.6657)
P (0.6667, 0.6667, 0.3343)
Se (0.0000, 0.0000, 0.5000)
Se (0.3350, 0.3350, 0.1671)
Se (0.6650, 0.6650, 0.8329)

***

Entry 12:
An optimized crystal structure of Ho3SbSe2. Source: Alexandria, functional PBE.

Space-group type: Imma (74)
ΔE_f (raw): -1.1735 eV/atom
N(E_F): 8.550 states/eV/cell
Polymorph energy (0 for the lowest one): 33.7 kJ/mol of atoms
V: 30.6 Å³/atom
Electronic total energy: -0.1952 Ha/atom

a b c (Å): 7.9782 7.9782 7.9782
angles (deg): 125.08 98.09 106.53
Element x y z (fractional)
Ho (0.0000, 0.2272, 0.2272)
Ho (0.0000, 0.7728, 0.7728)
Ho (0.5000, 0.0000, 0.0000)
Ho (0.5000, 0.2272, 0.7272)
Ho (0.5000, 0.5000, 0.5000)
Ho (0.5000, 0.7728, 0.2728)
Sb (0.2217, 0.9717, 0.2500)
Sb (0.7783, 0.0283, 0.7500)
Se (0.2438, 0.7028, 0.5410)
Se (0.3382, 0.2972, 0.0410)
Se (0.6618, 0.7028, 0.9590)
Se (0.7562, 0.2972, 0.4590)

***

Entry 13:
An optimized crystal structure of Re2B2Ir. Source: Alexandria, functional PBE.

Space-group type: P4/mbm (127)
N(E_F): 8.098 states/eV/cell
V: 11.3 Å³/atom
Electronic total energy: -0.3434 Ha/atom

a b c (Å): 6.2468 6.2468 2.8913
angles (deg): 90.00 90.00 90.00
Element x y z (fractional)
Re (0.1452, 0.3548, 0.0000)
Re (0.3548, 0.8548, 0.0000)
Re (0.6452, 0.1452, 0.0000)
Re (0.8548, 0.6452, 0.0000)
B (0.1513, 0.6513, 0.5000)
B (0.3487, 0.1513, 0.5000)
B (0.6513, 0.8487, 0.5000)
B (0.8487, 0.3487, 0.5000)
Ir (0.0000, 0.0000, 0.5000)
Ir (0.5000, 0.5000, 0.5000)

***

Entry 14:
An optimized crystal structure of HgRh. Source: Alexandria, functional PBE.

Space-group type: R-3m (166)
N(E_F): 1.967 states/eV/cell
V: 17.6 Å³/atom
Electronic total energy: -0.1315 Ha/atom

a b c (Å): 4.8125 4.8125 4.8125
angles (deg): 36.41 36.41 36.41
Element x y z (fractional)
Hg (0.0000, 0.0000, 0.0000)
Rh (0.5000, 0.5000, 0.5000)

***

Entry 15:
An optimized crystal structure of LiTlHg2Sb. Source: Alexandria, functional PBE.

Space-group type: Pmma (51)
ΔE_f (raw): -0.1029 eV/atom
N(E_F): 2.635 states/eV/cell
Polymorph energy (0 for the lowest one): 0.0 kJ/mol of atoms
V: 25.9 Å³/atom
Electronic total energy: -0.0700 Ha/atom

a b c (Å): 6.1261 7.5148 5.6344
angles (deg): 90.00 90.00 90.00
Element x y z (fractional)
Li (0.0000, 0.0000, 0.0000)
Li (0.5000, 0.0000, 0.0000)
Tl (0.2500, 0.5000, 0.3228)
Tl (0.7500, 0.5000, 0.6772)
Hg (0.2500, 0.2937, 0.8381)
Hg (0.2500, 0.7063, 0.8381)
Hg (0.7500, 0.2937, 0.1619)
Hg (0.7500, 0.7063, 0.1619)
Sb (0.2500, 0.0000, 0.4658)
Sb (0.7500, 0.0000, 0.5342)

***

Entry 16:
An optimized crystal structure of Tl3In2Cl4. Source: Alexandria, functional PBE.

Space-group type: C2/c (15)
ΔE_f (raw): -0.7446 eV/atom
N(E_F): 2.431 states/eV/cell
V: 32.8 Å³/atom
Electronic total energy: -0.1089 Ha/atom

a b c (Å): 9.8271 9.8271 6.2633
angles (deg): 93.05 93.05 77.73
Element x y z (fractional)
Tl (0.0516, 0.9484, 0.7500)
Tl (0.2539, 0.5543, 0.4658)
Tl (0.4457, 0.7461, 0.0342)
Tl (0.5543, 0.2539, 0.9658)
Tl (0.7461, 0.4457, 0.5342)
Tl (0.9484, 0.0516, 0.2500)
In (0.0572, 0.3253, 0.9347)
In (0.3253, 0.0572, 0.4347)
In (0.6747, 0.9428, 0.5653)
In (0.9428, 0.6747, 0.0653)
Cl (0.0969, 0.3031, 0.3996)
Cl (0.2888, 0.4879, 0.9464)
Cl (0.3031, 0.0969, 0.8996)
Cl (0.4879, 0.2888, 0.4464)
Cl (0.5121, 0.7112, 0.5536)
Cl (0.6969, 0.9031, 0.1004)
Cl (0.7112, 0.5121, 0.0536)
Cl (0.9031, 0.6969, 0.6004)

***

Entry 17:
An optimized crystal structure of Gd2MgAl. Source: Alexandria, functional PBE.

Space-group type: R-3m (166)
N(E_F): 3.448 states/eV/cell
V: 27.8 Å³/atom
Electronic total energy: -0.3100 Ha/atom

a b c (Å): 10.4083 10.4083 10.4083
angles (deg): 19.63 19.63 19.63
Element x y z (fractional)
Gd (0.2415, 0.2415, 0.2415)
Gd (0.7585, 0.7585, 0.7585)
Mg (0.0000, 0.0000, 0.0000)
Al (0.5000, 0.5000, 0.5000)

***

Entry 18:
An optimized crystal structure of KRb2WS4. Source: Alexandria, functional PBE.

Space-group type: I-4 (82)
ΔE_f (raw): -0.9238 eV/atom
N(E_F): 4.747 states/eV/cell
V: 35.4 Å³/atom
Electronic total energy: -0.1832 Ha/atom

a b c (Å): 7.1664 7.1664 7.1664
angles (deg): 110.50 110.50 107.44
Element x y z (fractional)
K (0.0000, 0.0000, 0.0000)
Rb (0.5000, 0.5000, 0.0000)
Rb (0.7500, 0.2500, 0.5000)
W (0.2500, 0.7500, 0.5000)
S (0.2310, 0.7452, 0.1774)
S (0.2548, 0.4322, 0.4858)
S (0.5678, 0.0536, 0.8226)
S (0.9464, 0.7690, 0.5142)

***

Entry 19:
An optimized crystal structure of Li2PmIn3. Source: Alexandria, functional PBE.

Space-group type: P6_3/mmc (194)
N(E_F): 5.917 states/eV/cell
V: 23.0 Å³/atom
Electronic total energy: -0.1148 Ha/atom

a b c (Å): 4.7404 4.7404 14.2065
angles (deg): 90.00 90.00 120.00
Element x y z (fractional)
Li (0.3333, 0.6667, 0.0855)
Li (0.3333, 0.6667, 0.4145)
Li (0.6667, 0.3333, 0.5855)
Li (0.6667, 0.3333, 0.9145)
Pm (0.0000, 0.0000, 0.2500)
Pm (0.0000, 0.0000, 0.7500)
In (0.0000, 0.0000, 0.0000)
In (0.0000, 0.0000, 0.5000)
In (0.3333, 0.6667, 0.6254)
In (0.3333, 0.6667, 0.8746)
In (0.6667, 0.3333, 0.1254)
In (0.6667, 0.3333, 0.3746)

***

Entry 20:
An optimized crystal structure of LaAlTlTc2. Source: Alexandria, functional PBE.

Space-group type: P4/mmm (123)
N(E_F): 4.389 states/eV/cell
V: 25.8 Å³/atom
Electronic total energy: -0.1857 Ha/atom

a b c (Å): 5.1597 5.1597 4.8542
angles (deg): 90.00 90.00 90.00
Element x y z (fractional)
La (0.0000, 0.0000, 0.0000)
Al (0.5000, 0.5000, 0.0000)
Tl (0.5000, 0.5000, 0.5000)
Tc (0.0000, 0.5000, 0.5000)
Tc (0.5000, 0.0000, 0.5000)